4
Lattice="4.575 0.000 0.000 2.287 3.962 0.000 2.287 1.321 3.735" Properties=species:S:1:pos:R:3 comment="BeIn2Ir (PBE-GGA, optimized geometry)" e_form_ev_per_atom=0.395 dft_energy_ev_per_cell=-16.5 pbc="T T T"
Be 4.575 2.641 1.868
Ir 6.862 3.962 2.801
In 0.000 0.000 0.000
In 2.287 1.321 0.934



4
Lattice="4.679 0.000 0.000 0.000 4.679 0.000 0.000 0.000 3.113" Properties=species:S:1:pos:R:3 comment="BeIn2Ir (PBE-GGA, optimized geometry)" e_form_ev_per_atom=0.287 dft_energy_ev_per_cell=-16.9 pbc="T T T"
Be 0.000 2.340 1.556
Ir 2.340 0.000 1.556
In 0.000 0.000 0.000
In 2.340 2.340 0.000



5
Lattice="3.668 0.000 0.000 0.000 4.687 0.000 0.000 0.000 3.668" Properties=species:S:1:pos:R:3 comment="Be2InIrO (PBE-GGA, optimized geometry)" e_form_raw_mev_per_atom=-327 dft_energy_ev_per_cell=-25.6 de_polymorph_mev_per_atom=0.0 pbc="T T T"
Be 0.000 0.000 1.834
Be 1.834 0.000 0.000
Ir 1.834 2.343 1.834
O 0.000 0.000 0.000
In 0.000 2.343 0.000



5
Lattice="4.438 0.000 0.000 0.000 5.056 0.000 0.000 0.000 4.438" Properties=species:S:1:pos:R:3 comment="Be2InIrO (PBE-GGA, optimized geometry)" e_form_raw_mev_per_atom=1899 dft_energy_ev_per_cell=-14.5 de_polymorph_mev_per_atom=2225.7 pbc="T T T"
Be 0.000 0.000 2.219
Be 2.219 0.000 0.000
Ir 0.000 2.528 0.000
O 2.219 2.528 2.219
In 0.000 0.000 0.000



5
Lattice="-0.700 -0.207 4.641 3.629 -1.020 0.502 1.218 4.521 0.386" Properties=species:S:1:pos:R:3 comment="Be2InIrO (PBE-GGA, optimized geometry)" e_form_raw_mev_per_atom=1423 dft_energy_ev_per_cell=-16.9 de_polymorph_mev_per_atom=1749.8 pbc="T T T"
Be 0.609 2.261 0.193
Be -0.350 -0.104 2.321
Ir 2.073 1.647 2.764
O 1.815 -0.510 0.251
In 0.000 0.000 0.000



5
Lattice="-4.358 0.103 0.649 -0.076 -4.646 0.227 0.653 0.202 4.354" Properties=species:S:1:pos:R:3 comment="BeInIr2Pb (PBE-GGA, optimized geometry)" e_form_ev_per_atom=0.495 dft_energy_ev_per_cell=-25.4 pbc="T T T"
Pb -0.038 -2.323 0.113
Be 0.000 0.000 0.000
Ir 0.327 0.101 2.177
Ir -2.179 0.051 0.325
In -1.890 -2.171 2.615



5
Lattice="4.605 0.000 0.000 0.000 4.049 0.000 0.000 0.000 4.605" Properties=species:S:1:pos:R:3 comment="BeIn2IrRh (PBE-GGA, optimized geometry)" e_form_ev_per_atom=0.411 dft_energy_ev_per_cell=-23.4 pbc="T T T"
Be 0.000 0.000 0.000
Ir 0.000 2.025 0.000
Rh 2.302 2.025 2.302
In 0.000 0.000 2.302
In 2.302 0.000 0.000



5
Lattice="4.824 0.000 0.000 0.000 5.014 0.000 0.000 0.000 4.824" Properties=species:S:1:pos:R:3 comment="TaBeInIr2 (PBE-GGA, optimized geometry)" e_form_ev_per_atom=2.420 dft_energy_ev_per_cell=-23.9 pbc="T T T"
Be 2.412 2.507 2.412
Ir 0.000 0.000 2.412
Ir 2.412 0.000 0.000
In 0.000 0.000 0.000
Ta 0.000 2.507 0.000



Q: Which formula does entry 1 have?
A: BeIn2Ir